# 1
Density functional theory data (PBE) for a relaxed Na2TaCuB crystal.

The structure in POSCAR format:
```
Na2TaCuB
1.0
4.508 0.000 0.000
0.000 5.004 0.000
0.000 0.000 4.508
Na Ta Cu B
2 1 1 1
Cartesian
2.254 0.000 0.000
0.000 0.000 2.254
0.000 2.502 0.000
0.000 0.000 0.000
2.254 2.502 2.254
```

Computed properties:
energy of formation	1732	meV per atom
mass density	4.92	Mg/m³
DOS(E_F)	0.736	states/eV per atom

# 2
Density functional theory data (PBE) for a relaxed PmNd6Ho5 crystal.

The structure in POSCAR format:
```
PmNd6Ho5
1.0
-10.932 1.252 4.475
-1.194 -5.928 1.671
1.523 -2.007 5.747
Pm Nd Ho
1 6 5
Cartesian
0.000 0.000 0.000
-2.827 -6.457 6.484
-3.046 -1.171 1.543
-9.080 -3.506 4.603
-7.776 -0.226 5.409
-7.668 -2.873 7.875
-2.934 -3.811 4.018
-4.650 -1.701 6.345
0.220 -5.290 4.946
-6.063 -2.338 3.073
-5.952 -4.983 5.548
0.109 -2.645 2.471
```

Computed properties:
energy of formation	13	meV per atom
relative energy among the computed polymorphs	0	meV per atom
mass density	7.64	Mg/m³
DOS(E_F)	1.145	states/eV per atom

# 3
Density functional theory data (PBE) for a relaxed PmNpAl crystal.

The structure in POSCAR format:
```
PmNpAl
1.0
-1.293 -1.757 2.820
4.737 -2.050 0.895
1.551 7.401 3.068
Pm Np Al
2 2 2
Cartesian
3.451 3.128 5.784
1.545 0.467 0.999
4.430 1.435 2.925
0.566 2.159 3.858
1.672 4.971 3.863
3.324 -1.377 2.919
```

Computed properties:
energy of formation	-46	meV per atom
mass density	9.20	Mg/m³
DOS(E_F)	1.551	states/eV per atom

# 4
Density functional theory data (PBE) for a relaxed PaAl3Tc crystal.

The structure in POSCAR format:
```
PaAl3Tc
1.0
7.470 -0.038 -2.240
1.926 6.759 -1.855
-0.269 0.053 7.263
Al Pa Tc
12 4 4
Cartesian
6.160 5.557 4.020
7.994 6.516 2.251
1.132 0.257 0.917
8.406 5.580 -0.478
5.706 6.256 -0.626
3.420 0.517 3.794
0.720 1.194 3.646
4.884 2.939 3.927
4.242 3.834 -0.759
2.966 1.216 -0.852
1.570 4.627 -0.815
7.556 2.147 3.983
6.566 3.934 1.466
3.198 5.460 3.783
5.929 1.313 -0.615
2.560 2.839 1.702
2.343 3.012 4.570
3.468 5.504 1.087
5.658 1.269 2.081
6.784 3.761 -1.402
```

Computed properties:
energy of formation	-287	meV per atom
relative energy among the computed polymorphs	0	meV per atom
mass density	7.49	Mg/m³
DOS(E_F)	0.586	states/eV per atom

# 5
Density functional theory data (PBE) for a relaxed Ca3HfRu crystal.

The structure in POSCAR format:
```
Ca3HfRu
1.0
5.337 0.000 0.000
0.000 5.337 0.000
0.000 0.000 5.337
Ru Ca Hf
1 3 1
Cartesian
0.000 0.000 0.000
0.000 2.669 0.000
2.669 0.000 0.000
0.000 0.000 2.669
2.669 2.669 2.669
```

Computed properties:
energy of formation	729	meV per atom
relative energy among the computed polymorphs	0	meV per atom
mass density	4.37	Mg/m³
DOS(E_F)	0.355	states/eV per atom

# 6
Density functional theory data (PBE) for a relaxed ScHgI3 crystal.

The structure in POSCAR format:
```
ScHgI3
1.0
-5.836 2.588 8.738
-7.531 7.745 -0.623
-10.492 -2.606 0.465
I Sc Hg
12 4 4
Cartesian
-3.611 1.439 3.863
-8.318 2.424 0.427
-6.520 4.430 3.622
-14.629 1.481 7.305
-4.266 3.431 0.248
-9.230 6.246 1.274
-15.670 4.646 1.560
-8.189 3.080 7.020
-7.663 0.433 4.042
-11.047 -0.107 1.942
-5.410 -0.567 0.668
-12.812 7.834 6.637
-6.748 4.838 0.761
-5.900 2.260 5.441
-2.982 0.966 1.072
-8.229 -0.337 1.305
-14.912 4.829 5.362
-11.994 3.535 0.993
-9.666 6.132 5.130
-11.146 0.957 5.674
```

Computed properties:
ΔE_f (raw)	-0.885	eV/atom
relative energy among the computed polymorphs	87	meV per atom
mass density	4.64	Mg/m³
DOS(E_F)	0.000	states/eV per atom

# 7
Density functional theory data (PBE) for a relaxed AcZrIr2 crystal.

The structure in POSCAR format:
```
AcZrIr2
1.0
3.438 0.000 0.000
0.000 3.438 0.000
0.000 0.000 7.321
Ir Ac Zr
2 1 1
Cartesian
0.000 0.000 1.483
0.000 0.000 5.838
1.719 1.719 3.660
1.719 1.719 0.000
```

Computed properties:
energy of formation	-576	meV per atom
mass density	13.49	Mg/m³
DOS(E_F)	0.732	states/eV per atom

# 8
Density functional theory data (PBE) for a relaxed CrTeW2 crystal.

The structure in POSCAR format:
```
CrTeW2
1.0
-0.835 4.580 -0.036
-1.274 -0.261 -3.580
-3.524 -0.632 1.300
W Cr Te
2 1 1
Cartesian
0.000 0.000 0.000
-2.399 -0.446 -1.140
-1.055 2.160 -1.808
-2.179 1.974 0.632
```

Computed properties:
ΔE_f (raw)	0.716	eV/atom
mass density	13.46	Mg/m³
DOS(E_F)	0.759	states/eV per atom

# 9
Density functional theory data (PBE) for a relaxed Ac2DySn4Au3 crystal.

The structure in POSCAR format:
```
Ac2DySn4Au3
1.0
4.687 0.000 0.000
0.000 4.687 0.000
0.000 0.000 12.451
Sn Au Dy Ac
4 3 1 2
Cartesian
2.344 0.000 8.081
2.344 2.344 0.000
0.000 2.344 4.370
0.000 0.000 0.000
0.000 2.344 1.651
0.000 0.000 6.226
2.344 0.000 10.800
2.344 2.344 6.226
2.344 0.000 2.955
0.000 2.344 9.497
```

Computed properties:
energy of formation	-653	meV per atom
mass density	10.21	Mg/m³
DOS(E_F)	0.291	states/eV per atom

# 10
Density functional theory data (PBE) for a relaxed FeSb2N crystal.

The structure in POSCAR format:
```
FeSb2N
1.0
-1.607 -3.274 -4.221
-0.119 -4.384 3.446
-5.670 -2.854 0.687
Sb Fe N
4 2 2
Cartesian
-1.740 -3.959 1.674
-2.389 -3.211 -1.911
-5.759 -8.713 -0.264
-4.903 -5.141 0.326
-4.070 -4.978 -1.960
0.000 0.000 0.000
-0.863 -3.829 -0.387
-3.326 -5.534 1.873
```

Computed properties:
ΔE_f (raw)	0.605	eV/atom
mass density	6.66	Mg/m³
DOS(E_F)	0.051	states/eV per atom

# 11
Density functional theory data (PBE) for a relaxed Cs4ZrTe4 crystal.

The structure in POSCAR format:
```
Cs4ZrTe4
1.0
-6.139 2.189 5.040
-3.691 -10.154 -0.086
6.189 -2.322 8.547
Cs Te Zr
8 8 2
Cartesian
-4.768 -6.599 1.664
-0.744 -8.698 5.000
1.301 -3.086 5.053
-5.630 -3.749 6.112
-2.330 0.795 5.679
-2.211 -5.040 10.837
-3.251 -10.390 9.415
3.067 -4.379 10.244
-1.978 -5.060 3.992
-2.190 -2.581 7.718
0.157 -0.084 2.758
0.033 -11.570 7.597
0.643 -6.050 7.614
0.420 -2.695 12.619
-3.758 -6.883 7.677
-7.892 -6.225 4.028
0.000 0.000 0.000
-1.821 -5.143 6.750
```

Computed properties:
ΔE_f (raw)	-1.091	eV/atom
relative energy among the computed polymorphs	0	meV per atom
mass density	3.91	Mg/m³
DOS(E_F)	0.000	states/eV per atom

# 12
Density functional theory data (PBE) for a relaxed LaMgPdPt crystal.

The structure in POSCAR format:
```
LaMgPdPt
1.0
-0.095 4.513 -0.559
-2.227 -2.698 -2.904
-2.456 0.560 4.936
Pt La Pd Mg
1 1 1 1
Cartesian
-3.919 0.120 1.634
-1.804 2.430 1.419
-1.886 2.040 -1.721
-2.942 0.450 4.136
```

Computed properties:
energy of formation	-901	meV per atom
relative energy among the computed polymorphs	0	meV per atom
mass density	8.84	Mg/m³
DOS(E_F)	0.427	states/eV per atom

# 13
Density functional theory data (PBE) for a relaxed V2FeMoAu crystal.

The structure in POSCAR format:
```
V2FeMoAu
1.0
-4.153 -0.595 2.294
2.382 -2.607 3.636
0.753 4.057 2.416
V Mo Au Fe
2 1 1 1
Cartesian
0.376 2.029 1.208
-2.076 -0.298 1.147
1.191 -1.303 1.818
0.000 0.000 0.000
-0.509 0.428 4.173
```

Computed properties:
energy of formation	1979	meV per atom
relative energy among the computed polymorphs	513	meV per atom
mass density	6.46	Mg/m³
DOS(E_F)	1.573	states/eV per atom

# 14
Density functional theory data (PBE) for a relaxed Mo2IrPt2 crystal.

The structure in POSCAR format:
```
Mo2IrPt2
1.0
3.800 -0.021 0.994
1.938 4.407 0.443
0.783 0.093 4.780
Mo Pt Ir
2 2 1
Cartesian
2.669 3.966 1.496
3.852 0.514 4.722
4.095 3.149 3.829
2.426 1.330 2.389
0.969 2.204 0.222
```

Computed properties:
energy of formation	-229	meV per atom
mass density	16.73	Mg/m³
DOS(E_F)	0.852	states/eV per atom

# 15
Density functional theory data (PBE) for a relaxed TaIn2As2 crystal.

The structure in POSCAR format:
```
TaIn2As2
1.0
-4.165 -1.417 -6.181
0.507 -7.446 1.366
-3.105 0.166 2.054
As In Ta
4 4 2
Cartesian
-3.931 -7.035 -1.995
-1.928 -5.164 0.882
-4.835 -3.534 -3.643
-2.832 -1.662 -0.766
-0.394 -2.888 -0.363
-1.069 -6.926 -1.057
-2.589 -1.937 -3.758
-3.264 -5.975 -4.452
-1.829 -4.431 -2.407
0.000 0.000 0.000
```

Computed properties:
energy of formation	564	meV per atom
relative energy among the computed polymorphs	420	meV per atom
mass density	8.68	Mg/m³
DOS(E_F)	0.818	states/eV per atom

# 16
Density functional theory data (PBE) for a relaxed NdDyRhAu crystal.

The structure in POSCAR format:
```
NdDyRhAu
1.0
-0.198 1.814 3.397
2.478 -3.393 1.956
4.566 1.702 -2.832
Nd Rh Dy Au
1 1 1 1
Cartesian
1.298 0.758 -0.329
3.652 2.132 -0.926
4.400 1.114 1.850
1.866 -0.366 2.493
```

Computed properties:
energy of formation	-800	meV per atom
relative energy among the computed polymorphs	0	meV per atom
mass density	10.64	Mg/m³
DOS(E_F)	0.652	states/eV per atom

# 17
Density functional theory data (PBE) for a relaxed Ac2CuNiPd6 crystal.

The structure in POSCAR format:
```
Ac2CuNiPd6
1.0
-4.637 -1.986 1.983
-2.261 -2.603 -7.906
-1.494 -6.168 -2.270
Pd Ni Ac Cu
6 1 2 1
Cartesian
-2.113 -3.820 -1.371
-2.829 -2.515 -5.438
-3.246 -7.246 -3.747
-5.564 -8.243 -2.754
-6.280 -6.938 -6.821
-5.146 -3.511 -4.446
0.000 0.000 0.000
-4.852 -5.325 -1.868
-3.541 -5.432 -6.324
-3.449 -2.295 -2.961
```

Computed properties:
energy of formation	-490	meV per atom
mass density	9.82	Mg/m³
DOS(E_F)	0.854	states/eV per atom

# 18
Density functional theory data (PBE) for a relaxed MnPdSe2N crystal.

The structure in POSCAR format:
```
MnPdSe2N
1.0
-4.654 -0.582 1.444
1.117 -4.419 1.818
0.755 1.430 3.011
Se Pd Mn N
2 1 1 1
Cartesian
0.559 -2.210 0.909
-2.327 -0.291 0.722
-1.391 -1.786 3.136
0.000 0.000 0.000
0.378 0.715 1.506
```

Computed properties:
ΔE_f (raw)	0.245	eV/atom
relative energy among the computed polymorphs	0	meV per atom
mass density	6.72	Mg/m³
DOS(E_F)	0.653	states/eV per atom

# 19
Density functional theory data (PBE) for a relaxed Rb4Nb2V crystal.

The structure in POSCAR format:
```
Rb4Nb2V
1.0
-0.285 4.469 5.675
-4.193 -4.727 3.511
4.697 -3.848 7.870
V Rb Nb
1 4 2
Cartesian
0.000 0.000 0.000
-1.545 -1.831 10.572
-0.143 2.234 2.838
-2.097 -2.364 1.756
1.764 -2.276 6.484
1.600 -3.518 12.058
-1.381 -0.589 4.999
```

Computed properties:
energy of formation	1542	meV per atom
mass density	2.16	Mg/m³
DOS(E_F)	1.942	states/eV per atom

# 20
Density functional theory data (PBE) for a relaxed ZnMo5 crystal.

The structure in POSCAR format:
```
ZnMo5
1.0
-0.874 -0.738 -5.345
0.714 -2.725 -4.684
-5.443 -4.421 -0.214
Mo Zn
5 1
Cartesian
-5.378 -4.379 -0.243
-3.560 -6.014 -9.526
-3.701 -5.269 -6.949
-1.663 -3.373 -6.145
-1.777 -2.564 -3.439
-5.239 -5.163 -2.935
```

Computed properties:
energy of formation	286	meV per atom
relative energy among the computed polymorphs	172	meV per atom
mass density	9.54	Mg/m³
DOS(E_F)	0.899	states/eV per atom